Record 1
Entry from Alexandria via LeMat-Bulk: a relaxed PmNdZnCo crystal (GGA-PBE).

Computed properties:
formation energy	-0.117	eV per atom
mass density	7.64	g/cm3
N(E_F)	0.6653	states/eV/atom
E_tot	-73.46	eV for the cell shown

Cell: 7.111 7.111 7.111 Å, 90.00 90.00 90.00°
Space group F-43m (No. 216)
Asymmetric unit:
Pm1 0.000 0.000 0.000
Nd1 0.000 0.000 0.500
Zn1 0.250 0.250 0.750
Co1 0.250 0.250 0.250

Record 2
Entry from Alexandria via LeMat-Bulk: a relaxed PmNdZnCo crystal (GGA-PBE).

Computed properties:
formation energy	-0.155	eV per atom
mass density	7.28	g/cm3
N(E_F)	1.0141	states/eV/atom
E_tot	-37.04	eV for the cell shown

Cell: 4.371 3.945 10.940 Å, 90.00 90.00 90.00°
Space group Amm2 (No. 38)
Asymmetric unit:
Pm1 0.000 0.000 0.000
Nd1 0.500 0.000 0.722
Zn1 0.000 0.000 0.296
Co1 0.500 0.000 0.417

Record 3
Entry from Alexandria via LeMat-Bulk: a relaxed Pm3Nd3Zn2Co crystal (GGA-PBE).

Computed properties:
formation energy	-0.138	eV per atom
mass density	7.21	g/cm3
N(E_F)	1.2322	states/eV/atom
E_tot	-39.45	eV for the cell shown

Cell: 8.6999 8.6999 3.7167 Å, 90.00 90.00 120.00°
Space group P-62m (No. 189)
Asymmetric unit:
Pm1 0.0000 0.7625 0.0000
Nd1 0.0000 0.4078 0.5000
Zn1 0.3333 0.6667 0.0000
Co1 0.0000 0.0000 0.5000

Record 4
Entry from Alexandria via LeMat-Bulk: a relaxed Pr5Nd3Co2 crystal (GGA-PBE).

Computed properties:
formation energy	0.033	eV per atom
mass density	6.51	g/cm3
N(E_F)	1.2520	states/eV/atom
E_tot	-208.35	eV for the cell shown

Cell: 10.592 15.233 7.938 Å, 90.00 90.00 90.00°
Space group Ibam (No. 72)
Asymmetric unit:
Pr1 0.000 0.000 0.250
Pr2 0.000 0.248 0.250
Pr3 0.244 0.113 0.000
Nd1 0.000 0.500 0.250
Nd2 0.242 0.134 0.500
Co1 0.001 0.370 0.000

Record 5
Entry from Alexandria via LeMat-Bulk: a relaxed Pr2NdCo9 crystal (GGA-PBE).

Computed properties:
formation energy	-0.023	eV per atom
mass density	8.60	g/cm3
N(E_F)	1.5525	states/eV/atom
E_tot	-235.68	eV for the cell shown

Cell: 5.0638 5.0638 24.9425 Å, 90.00 90.00 120.00°
Space group R-3m (No. 166, hexagonal axes)
Asymmetric unit:
Pr1 0.0000 0.0000 0.1398
Nd1 0.0000 0.0000 0.0000
Co1 0.0000 0.0000 0.3329
Co2 0.0000 0.0000 0.5000
Co3 0.0039 0.5020 0.0790

Record 6
Entry from Alexandria via LeMat-Bulk: a relaxed PrNd2Co crystal (GGA-PBE).

Computed properties:
formation energy	-0.058	eV per atom
mass density	7.07	g/cm3
N(E_F)	1.3165	states/eV/atom
E_tot	-86.61	eV for the cell shown

Cell: 7.127 9.935 6.478 Å, 90.00 90.00 90.00°
Space group Pnma (No. 62)
Asymmetric unit:
Pr1 0.046 0.250 0.147
Nd1 0.169 0.070 0.676
Co1 0.116 0.750 0.436

Record 7
Entry from Alexandria via LeMat-Bulk: a relaxed PrNd3Co crystal (GGA-PBE).

Computed properties:
formation energy	0.078	eV per atom
mass density	6.39	g/cm3
N(E_F)	1.5807	states/eV/atom
E_tot	-25.80	eV for the cell shown

Cell: 5.477 5.477 5.477 Å, 90.00 90.00 90.00°
Space group Pm-3m (No. 221)
Asymmetric unit:
Pr1 0.000 0.000 0.000
Nd1 0.000 0.500 0.500
Co1 0.500 0.500 0.500

Record 8
Entry from Alexandria via LeMat-Bulk: a relaxed PrNd2Co crystal (GGA-PBE).

Computed properties:
formation energy	0.050	eV per atom
mass density	7.03	g/cm3
N(E_F)	1.1195	states/eV/atom
E_tot	-21.22	eV for the cell shown

Cell: 3.528 3.528 9.263 Å, 90.00 90.00 90.00°
Space group P4/mmm (No. 123)
Asymmetric unit:
Pr1 0.000 0.000 0.000
Nd1 0.500 0.500 0.320
Co1 0.000 0.000 0.500

Record 9
Entry from Alexandria via LeMat-Bulk: a relaxed PrNdCo4 crystal (GGA-PBE).

Computed properties:
formation energy	-0.061	eV per atom
mass density	7.72	g/cm3
N(E_F)	0.8219	states/eV/atom
E_tot	-76.67	eV for the cell shown

Cell: 3.905 6.773 8.468 Å, 90.00 90.00 90.00°
Space group Immm (No. 71)
Asymmetric unit:
Pr1 0.000 0.000 0.000
Nd1 0.000 0.000 0.500
Co1 0.000 0.333 0.249

Record 10
Entry from Alexandria via LeMat-Bulk: a relaxed PrNdCo crystal (GGA-PBE).

Computed properties:
formation energy	0.045	eV per atom
mass density	7.03	g/cm3
N(E_F)	1.0566	states/eV/atom
E_tot	-33.04	eV for the cell shown

Cell: 3.490 6.995 7.101 Å, 104.15 104.15 90.16°
Space group P-1 (No. 2)
Asymmetric unit:
Pr1 0.126 0.063 0.251
Nd1 0.125 0.563 0.251
Co1 0.500 0.255 0.000

Record 11
Entry from Alexandria via LeMat-Bulk: a relaxed Pr2NdCo2 crystal (GGA-PBE).

Computed properties:
formation energy	-0.002	eV per atom
mass density	7.15	g/cm3
N(E_F)	1.1997	states/eV/atom
E_tot	-57.09	eV for the cell shown

Cell: 4.075 14.765 4.196 Å, 90.00 90.00 90.00°
Space group Cmmm (No. 65)
Asymmetric unit:
Pr1 0.000 0.147 0.000
Nd1 0.000 0.500 0.500
Co1 0.000 0.286 0.500

Record 12
Entry from Alexandria via LeMat-Bulk: a relaxed PrNd3Co crystal (GGA-PBE).

Computed properties:
formation energy	0.040	eV per atom
mass density	6.98	g/cm3
N(E_F)	1.1978	states/eV/atom
E_tot	-103.96	eV for the cell shown

Cell: 7.998 7.726 10.154 Å, 90.00 106.52 90.00°
Space group P2_1/c (No. 14)
Asymmetric unit:
Pr1 0.179 0.060 0.248
Nd1 0.095 0.696 0.034
Nd2 0.290 0.002 0.887
Nd3 0.433 0.130 0.615
Co1 0.449 0.742 0.604

Record 13
Entry from Alexandria via LeMat-Bulk: a relaxed PrNdCo crystal (GGA-PBE).

Computed properties:
formation energy	-0.046	eV per atom
mass density	7.03	g/cm3
N(E_F)	1.0524	states/eV/atom
E_tot	-33.58	eV for the cell shown

Cell: 3.807 6.604 7.100 Å, 76.76 74.48 73.28°
Space group P-1 (No. 2)
Asymmetric unit:
Pr1 0.180 0.234 0.408
Nd1 0.423 0.267 0.886
Co1 0.112 0.968 0.806

Record 14
Entry from Alexandria via LeMat-Bulk: a relaxed PrNdCo crystal (GGA-PBE).

Computed properties:
formation energy	0.067	eV per atom
mass density	7.05	g/cm3
N(E_F)	0.7389	states/eV/atom
E_tot	-65.81	eV for the cell shown

Cell: 6.868 6.868 6.868 Å, 90.00 90.00 90.00°
Space group F-43m (No. 216)
Asymmetric unit:
Pr1 0.000 0.000 0.000
Nd1 0.000 0.000 0.500
Co1 0.250 0.250 0.250

Record 15
Entry from Alexandria via LeMat-Bulk: a relaxed PrNd2Co crystal (GGA-PBE).

Computed properties:
formation energy	-0.038	eV per atom
mass density	7.03	g/cm3
N(E_F)	1.3772	states/eV/atom
E_tot	-86.29	eV for the cell shown

Cell: 3.769 12.257 9.983 Å, 90.00 90.00 90.00°
Space group Cmcm (No. 63)
Asymmetric unit:
Pr1 0.000 0.091 0.250
Nd1 0.000 0.361 0.073
Co1 0.000 0.235 0.750

Record 16
Entry from Alexandria via LeMat-Bulk: a relaxed Pr2Nd3Co2 crystal (GGA-PBE).

Computed properties:
formation energy	-0.045	eV per atom
mass density	7.08	g/cm3
N(E_F)	1.2272	states/eV/atom
E_tot	-76.78	eV for the cell shown

Cell: 12.408 3.785 9.204 Å, 90.00 115.44 90.00°
Space group C2/m (No. 12)
Asymmetric unit:
Pr1 0.173 0.000 0.305
Nd1 0.000 0.500 0.500
Nd2 0.117 0.500 0.922
Co1 0.178 0.000 0.744

Record 17
Entry from Alexandria via LeMat-Bulk: a relaxed PrNdCo crystal (GGA-PBE).

Computed properties:
formation energy	0.013	eV per atom
mass density	6.37	g/cm3
N(E_F)	0.9565	states/eV/atom
E_tot	-16.61	eV for the cell shown

Cell: 4.0257 4.0257 6.3881 Å, 90.00 90.00 120.00°
Space group P3m1 (No. 156)
Asymmetric unit:
Pr1 0.0000 0.0000 0.0000
Nd1 0.3333 0.6667 0.4627
Co1 0.6667 0.3333 0.2332

Record 18
Entry from Alexandria via LeMat-Bulk: a relaxed PrNd2Co crystal (GGA-PBE).

Computed properties:
formation energy	0.045	eV per atom
mass density	6.61	g/cm3
N(E_F)	1.2233	states/eV/atom
E_tot	-63.72	eV for the cell shown

Cell: 3.8941 3.8941 28.0292 Å, 90.00 90.00 120.00°
Space group R3m (No. 160, hexagonal axes)
Asymmetric unit:
Pr1 0.0000 0.0000 0.0000
Nd1 0.0000 0.0000 0.2239
Nd2 0.0000 0.0000 0.4452
Co1 0.0000 0.0000 0.8348

Record 19
Entry from Alexandria via LeMat-Bulk: a relaxed Pr2NdCo2 crystal (GGA-PBE).

Computed properties:
formation energy	0.073	eV per atom
mass density	7.19	g/cm3
N(E_F)	1.1981	states/eV/atom
E_tot	-56.35	eV for the cell shown

Cell: 11.585 3.832 5.875 Å, 90.00 105.51 90.00°
Space group C2/m (No. 12)
Asymmetric unit:
Pr1 0.147 0.000 0.088
Nd1 0.000 0.500 0.500
Co1 0.227 0.000 0.595

Record 20
Entry from Alexandria via LeMat-Bulk: a relaxed PrNd6Co3 crystal (GGA-PBE).

Computed properties:
formation energy	0.060	eV per atom
mass density	7.19	g/cm3
N(E_F)	1.1270	states/eV/atom
E_tot	-216.41	eV for the cell shown

Cell: 11.976 12.497 7.303 Å, 90.00 90.00 90.00°
Space group Cmc2_1 (No. 36)
Asymmetric unit:
Pr1 0.000 0.204 0.000
Nd1 0.000 0.172 0.532
Nd2 0.000 0.455 0.366
Nd3 0.219 0.005 0.041
Nd4 0.236 0.256 0.289
Co1 0.000 0.003 0.269
Co2 0.099 0.368 0.700

Record 21
Entry from Alexandria via LeMat-Bulk: a relaxed PrNd4Co crystal (GGA-PBE).

Computed properties:
formation energy	0.331	eV per atom
mass density	6.15	g/cm3
N(E_F)	1.2521	states/eV/atom
E_tot	-28.97	eV for the cell shown

Cell: 4.805 4.805 9.086 Å, 90.00 90.00 90.00°
Space group P4/mmm (No. 123)
Asymmetric unit:
Pr1 0.000 0.000 0.000
Nd1 0.000 0.500 0.317
Co1 0.500 0.500 0.500

Record 22
Entry from Alexandria via LeMat-Bulk: a relaxed Pr2NdCo crystal (GGA-PBE).

Computed properties:
formation energy	0.069	eV per atom
mass density	6.51	g/cm3
N(E_F)	1.2932	states/eV/atom
E_tot	-63.47	eV for the cell shown

Cell: 3.9010 3.9010 28.1451 Å, 90.00 90.00 120.00°
Space group R3m (No. 160, hexagonal axes)
Asymmetric unit:
Pr1 0.0000 0.0000 0.0000
Pr2 0.0000 0.0000 0.2197
Nd1 0.0000 0.0000 0.4440
Co1 0.0000 0.0000 0.6096

Record 23
Entry from Alexandria via LeMat-Bulk: a relaxed Pr6NdCo2 crystal (GGA-PBE).

Computed properties:
formation energy	0.025	eV per atom
mass density	6.80	g/cm3
N(E_F)	1.1309	states/eV/atom
E_tot	-189.71	eV for the cell shown

Cell: 9.783 10.398 10.632 Å, 90.00 90.00 90.00°
Space group Immm (No. 71)
Asymmetric unit:
Pr1 0.000 0.238 0.216
Pr2 0.180 0.180 0.500
Pr3 0.204 0.500 0.315
Nd1 0.000 0.000 0.000
Nd2 0.000 0.500 0.000
Co1 0.000 0.000 0.289
Co2 0.000 0.384 0.500

Record 24
Entry from Alexandria via LeMat-Bulk: a relaxed PrNd3Co crystal (GGA-PBE).

Computed properties:
formation energy	-0.012	eV per atom
mass density	6.77	g/cm3
N(E_F)	0.9198	states/eV/atom
E_tot	-105.00	eV for the cell shown

Cell: 11.893 8.507 6.237 Å, 90.00 100.38 90.00°
Space group C2/m (No. 12)
Asymmetric unit:
Pr1 0.089 0.000 0.284
Nd1 0.127 0.292 0.798
Nd2 0.156 0.500 0.316
Co1 0.190 0.000 0.929